Below is a relaxed structure of ZnCd2Cl, with properties calculated at the PBE-GGA level.

Calculated values
Relative energy among the computed polymorphs   234.4 meV per atom
SG   No. 123
VASP energy   -1.25 eV per atom
ΔE_f (raw)   -0.012 eV/atom
Total magnetization   0.00 Bohr magnetons per cell

```
ZnCd2Cl
1.0
5.654 0.000 0.000
0.000 4.146 0.000
0.000 0.000 4.146
Cd Cl Zn
2 1 1
direct
0.000 0.000 0.000 Cd
0.000 0.500 0.500 Cd
0.500 0.500 0.000 Cl
0.500 0.000 0.500 Zn
```